TcPCl2 | the Alexandria database | PBE | optimized geometry; crystal system = monoclinic; relative energy among the computed polymorphs = 0.4046 eV/atom; formation energy (no corrections) = -0.040 eV per atom; volume = 21.994 A^3/atom; total magnetization = 0.07 μB/atom
1.0
14.733 0.000 0.000
0.000 3.043 0.000
-0.533 0.000 3.925
Tc P Cl
2 2 4
Direct
0.000 0.000 0.000
0.500 0.500 0.000
0.000 0.500 0.500
0.500 0.000 0.500
0.137 0.500 0.192
0.363 0.000 0.808
0.637 0.000 0.192
0.863 0.500 0.808